# 1
VASP calculation (PBE) on an optimized crystal structure of LiZrIn2.

Properties
formation energy from the elements: 0.08 eV per atom
space group: F-43m
spin magnetization: 0.00 μB/cell
density of states at the Fermi level: 0.818 states/eV per atom

Structure (extended XYZ):
```
4
Lattice="4.938 0.000 0.000 2.469 4.276 0.000 2.469 1.425 4.032" Properties=species:S:1:pos:R:3 pbc="T T T"
In 0.000 0.000 0.000
In 7.406 4.276 3.024
Li 4.938 2.851 2.016
Zr 2.469 1.425 1.008
```

# 2
VASP calculation (PBE) on an optimized crystal structure of LiZr2In.

Properties
formation energy from the elements: -0.02 eV per atom
space group: C2/m
spin magnetization: 0.00 μB/cell
density of states at the Fermi level: 0.728 states/eV per atom

Structure (extended XYZ):
```
4
Lattice="-4.584 0.599 3.395 2.759 -5.008 -0.451 1.550 0.171 2.709" Properties=species:S:1:pos:R:3 pbc="T T T"
Zr 0.000 0.000 0.000
Zr -0.912 -2.204 1.472
Li 2.154 -2.418 1.129
In -1.517 0.385 3.052
```

# 3
VASP calculation (PBE) on an optimized crystal structure of LiZr2In.

Properties
formation energy from the elements: -0.08 eV per atom
space group: Cm
spin magnetization: 0.00 μB/cell
density of states at the Fermi level: 0.808 states/eV per atom

Structure (extended XYZ):
```
4
Lattice="-2.882 2.990 -3.609 -4.584 0.235 -3.034 -3.671 2.784 2.475" Properties=species:S:1:pos:R:3 pbc="T T T"
In -5.694 3.131 -1.849
Zr -2.602 1.364 -1.166
Zr -0.200 0.140 0.079
Li -8.208 4.378 -3.316
```

# 4
VASP calculation (PBE) on an optimized crystal structure of LiZrIn6.

Properties
formation energy from the elements: -0.16 eV per atom
space group: Cmmm
spin magnetization: 0.00 μB/cell
density of states at the Fermi level: 0.565 states/eV per atom

Structure (extended XYZ):
```
8
Lattice="4.463 0.000 0.000 0.000 6.414 -0.045 0.000 0.036 6.414" Properties=species:S:1:pos:R:3 pbc="T T T"
In 0.000 4.822 4.761
In 2.231 3.207 -0.023
In 2.231 0.018 3.207
In 0.000 1.644 4.787
In 0.000 1.629 1.608
In 0.000 4.807 1.583
Zr 2.231 0.000 0.000
Li 2.231 3.225 3.185
```

# 5
VASP calculation (PBE) on an optimized crystal structure of LiZrIn2.

Properties
formation energy from the elements: -0.01 eV per atom
space group: P4mm
spin magnetization: 0.00 μB/cell
density of states at the Fermi level: 0.886 states/eV per atom

Structure (extended XYZ):
```
4
Lattice="3.713 0.000 0.000 0.000 3.713 0.000 0.000 0.000 6.394" Properties=species:S:1:pos:R:3 pbc="T T T"
In 0.000 0.000 6.313
In 1.856 1.856 1.766
Li 0.000 0.000 3.119
Zr 1.856 1.856 4.789
```

# 6
VASP calculation (PBE) on an optimized crystal structure of Li2ZrIn3.

Properties
formation energy from the elements: -0.29 eV per atom
space group: P4/mmm
spin magnetization: 0.00 μB/cell
density of states at the Fermi level: 0.342 states/eV per atom

Structure (extended XYZ):
```
6
Lattice="-3.132 -1.273 -0.147 1.254 -2.966 -1.041 0.812 -3.148 9.946" Properties=species:S:1:pos:R:3 pbc="T T T"
Li -0.813 -2.607 0.948
Li -0.253 -4.779 7.810
In 0.251 -0.974 3.078
In 0.000 0.000 0.000
In 0.561 -2.174 6.868
Zr -0.533 -3.693 4.379
```

# 7
VASP calculation (PBE) on an optimized crystal structure of LiZr2In9.

Properties
formation energy from the elements: -0.16 eV per atom
space group: P4/mmm
spin magnetization: 0.00 μB/cell
density of states at the Fermi level: 0.477 states/eV per atom

Structure (extended XYZ):
```
12
Lattice="-1.023 -3.661 -2.361 -1.536 -1.966 3.715 -12.641 5.146 -2.503" Properties=species:S:1:pos:R:3 pbc="T T T"
In -1.280 -2.814 0.677
In -7.088 1.590 0.606
In -2.610 -0.976 -1.596
In -11.054 2.461 -3.268
In -2.866 -0.129 1.442
In -11.310 3.309 -0.230
In -5.474 -1.106 -0.153
In -6.832 0.742 -2.432
In -9.726 0.625 -0.995
Zr -4.321 1.759 -0.855
Zr -8.320 3.387 -1.647
Li 0.000 0.000 0.000
```

# 8
VASP calculation (PBE) on an optimized crystal structure of LiZr2In.

Properties
formation energy from the elements: -0.11 eV per atom
space group: P4mm
spin magnetization: 0.00 μB/cell
density of states at the Fermi level: 0.937 states/eV per atom

Structure (extended XYZ):
```
4
Lattice="3.228 0.000 0.000 0.000 3.228 0.000 0.000 0.000 8.168" Properties=species:S:1:pos:R:3 pbc="T T T"
Li 1.614 1.614 5.927
In 0.000 0.000 4.337
Zr 0.000 0.000 8.084
Zr 1.614 1.614 2.072
```

Q: Which formula does entry 5 have?
A: LiZrIn2

Q: What is the formula in the eighth record?
A: LiZr2In

Q: What is the formula in the fifth record?
A: LiZrIn2